The following is a GGA-PBE calculation of a relaxed Ta2GeCl crystal, from Alexandria.

Results
The uncorrected formation energy comes out at 0.59 eV/atom. The value obtained for the offset from the most stable computed form is 362 meV/atom.

Lattice parameters (Å, degrees): 5.7602 5.7602 5.7602 105.70 105.70 117.30
Last column: nearest neighbours and their distance in Å.
Element x y z (fractional)
1 Ta 0.0793 0.6250 0.9543  2 Cl 2.37
2 Ta 0.3750 0.3293 0.4543  2 Cl 2.37
3 Ta 0.6707 0.1250 0.0457  2 Cl 2.37
4 Ta 0.8750 0.9207 0.5457  2 Cl 2.37
5 Ge 0.2500 0.7500 0.5000  4 Ta 2.80, 2 Cl 3.00
6 Ge 0.5000 0.5000 0.0000  4 Ta 2.80, 2 Cl 3.00
7 Cl 0.0000 0.0000 0.0000  4 Ta 2.37
8 Cl 0.7500 0.2500 0.5000  4 Ta 2.37

The following is a GGA-PBE calculation of a relaxed MgZr2Ta crystal, from Alexandria.

Results
The value obtained for the formation energy is 107 kJ/mol of formula units.

Lattice parameters (Å, degrees): 4.9029 4.9029 4.9029 60.00 60.00 60.00
Last column: nearest neighbours and their distance in Å.
Element x y z (fractional)
1 Mg 0.0000 0.0000 0.0000  4 Zr 3.00, 4 Ta 3.00
2 Zr 0.5000 0.5000 0.5000  4 Zr 3.00, 4 Ta 3.00
3 Zr 0.7500 0.7500 0.7500  4 Zr 3.00, 4 Mg 3.00
4 Ta 0.2500 0.2500 0.2500  4 Zr 3.00, 4 Mg 3.00

The following is a GGA-PBE calculation of a relaxed AsSe2 crystal, from Alexandria.

Results
The uncorrected formation energy comes out at 0.44 eV/atom.

Lattice parameters (Å, degrees): 5.0455 5.0455 5.5326 90.00 90.00 120.00
Last column: nearest neighbours and their distance in Å.
Element x y z (fractional)
1 As 0.3333 0.6667 0.2500  5 Se 2.77-2.91
2 As 0.6667 0.3333 0.7500  5 Se 2.77-2.91
3 Se 0.0000 0.0000 0.0000  2 Se 2.77
4 Se 0.0000 0.0000 0.5000  2 Se 2.77
5 Se 0.3333 0.6667 0.7500  5 As 2.77-2.91
6 Se 0.6667 0.3333 0.2500  5 As 2.77-2.91

The calculation returns the following N(E_F) values, one per record and in order: 3.33 4.75 2.51 states/eV/f.u..